ThP | GGA-PBEsol | optimized geometry

Unit cell a=4.103 b=4.103 c=4.103 alpha=60.00 beta=60.00 gamma=60.00
Positions (direct):
P 0.000 0.000 0.000
Th 0.500 0.500 0.500

Output
**Space-group type**: No. 225
**Total energy**: -17.01 eV for the cell shown



KMnMo2 | GGA-PBEsol | optimized geometry

Unit cell a=4.601 b=4.601 c=4.601 alpha=60.00 beta=60.00 gamma=60.00
Site moments in Bohr magnetons follow the coordinates.
Positions (direct):
K 0.500 0.500 0.500  0.02
Mn 0.250 0.250 0.250  3.46
Mo 0.000 0.000 0.000  -0.75
Mo 0.750 0.750 0.750  0.57

Output
**Excess energy over the best structure of this formula in the dataset**: 657 meV per atom
**Space-group type**: No. 216
**Total energy**: -28.21 eV for the cell shown



LaMgMo2 | GGA-PBEsol | optimized geometry

Unit cell a=4.142 b=4.142 c=5.389 alpha=112.60 beta=112.60 gamma=90.00
Positions (direct):
La 0.500 0.500 0.000
Mg 0.000 0.000 0.000
Mo 0.750 0.250 0.500
Mo 0.250 0.750 0.500

Output
**Space-group type**: No. 139
**Total energy**: -27.45 eV for the cell shown



CaAs2Cl | GGA-PBEsol | optimized geometry

Unit cell a=3.683 b=3.724 c=7.007 alpha=91.19 beta=90.00 gamma=90.00
Positions (direct):
As 0.000 0.106 0.162
As 0.500 0.635 0.161
Ca 0.000 0.627 0.517
Cl 0.500 0.132 0.661

Output
**Excess energy over the best structure of this formula in the dataset**: 0 meV per atom
**Space-group type**: No. 6
**Total energy**: -18.34 eV for the cell shown



SrBe2As | GGA-PBEsol | optimized geometry

Unit cell a=3.847 b=4.465 c=4.637 alpha=90.00 beta=90.00 gamma=90.00
Positions (direct):
Sr 0.500 0.500 0.500
As 0.500 0.000 0.000
Be 0.000 0.736 0.000
Be 0.000 0.264 0.000

Output
**Space-group type**: No. 47
**Total energy**: -15.47 eV for the cell shown



VNi3 | GGA-PBEsol | optimized geometry

Unit cell a=2.464 b=2.464 c=7.107 alpha=90.00 beta=90.00 gamma=90.00
Positions (direct):
V 0.000 0.000 0.000
Ni 0.500 0.500 0.745
Ni 0.000 0.000 0.500
Ni 0.500 0.500 0.255

Output
**Space-group type**: No. 123
**Total energy**: -28.54 eV for the cell shown



Zn2PW | GGA-PBEsol | optimized geometry

Unit cell a=3.049 b=3.963 c=4.615 alpha=90.00 beta=90.00 gamma=90.00
Positions (direct):
P 0.500 0.000 0.500
W 0.000 0.500 0.500
Zn 0.000 0.000 0.000
Zn 0.500 0.500 0.000

Output
**Space-group type**: No. 47
**Total energy**: -21.70 eV for the cell shown



Co2RhBrO | GGA-PBEsol | optimized geometry

Unit cell a=4.608 b=4.588 c=4.588 alpha=90.00 beta=90.00 gamma=90.00
Site moments in Bohr magnetons follow the coordinates.
Positions (direct):
Co 0.000 0.000 0.500  2.19
Co 0.000 0.500 0.000  2.19
Rh 0.000 0.000 0.000  0.67
O 0.500 0.500 0.500  0.95
Br 0.500 0.000 0.000  0.08

Output
**Space-group type**: No. 123
**Total energy**: -22.90 eV for the cell shown



Ba4Nd2Cu2O9 | GGA-PBEsol | optimized geometry

Unit cell a=3.857 b=11.912 c=11.912 alpha=90.00 beta=90.00 gamma=90.00
Positions (direct):
Ba 0.258 0.829 0.887
Ba 0.758 0.671 0.387
Ba 0.258 0.171 0.113
Ba 0.742 0.887 0.171
Ba 0.242 0.613 0.671
Ba 0.242 0.387 0.329
Ba 0.742 0.113 0.829
Ba 0.758 0.329 0.613
Nd 0.750 0.890 0.610
Nd 0.750 0.110 0.390
Nd 0.250 0.390 0.890
Nd 0.250 0.610 0.110
Cu 0.250 0.100 0.600
Cu 0.750 0.400 0.100
Cu 0.750 0.600 0.900
Cu 0.250 0.900 0.400
O 0.250 0.255 0.755
O 0.251 0.210 0.477
O 0.249 0.023 0.290
O 0.750 0.245 0.255
O 0.250 0.594 0.906
O 0.750 0.094 0.594
O 0.751 0.710 0.023
O 0.249 0.977 0.710
O 0.750 0.755 0.745
O 0.750 0.906 0.406
O 0.749 0.477 0.790
O 0.751 0.290 0.977
O 0.251 0.790 0.523
O 0.250 0.745 0.245
O 0.000 0.500 0.500
O 0.749 0.523 0.210
O 0.250 0.406 0.094
O 0.500 0.000 0.000

Output
**Space-group type**: No. 118
**Total energy**: -230.84 eV for the cell shown



VOF2 | GGA-PBEsol | optimized geometry

Unit cell a=5.161 b=5.200 c=12.974 alpha=91.05 beta=90.00 gamma=119.75
Site moments in Bohr magnetons follow the coordinates.
Positions (direct):
V 0.986 0.004 0.501  1.37
V 0.018 0.004 0.001  1.37
V 0.388 0.653 0.834  0.41
V 0.690 0.331 0.664  1.28
V 0.265 0.653 0.334  0.41
V 0.641 0.331 0.164  1.28
O 0.672 0.773 0.918  -0.06
O 0.986 0.442 0.253  -0.04
O 0.883 0.219 0.582  -0.15
O 0.456 0.442 0.753  -0.04
O 0.101 0.773 0.418  -0.06
O 0.336 0.219 0.082  -0.15
F 0.021 0.575 0.749  0.01
F 0.582 0.001 0.753  0.01
F 0.662 0.898 0.412  0.01
F 0.907 0.665 0.085  0.01
F 0.758 0.665 0.585  0.01
F 0.419 0.001 0.253  0.01
F 0.236 0.898 0.912  0.01
F 0.554 0.575 0.249  0.01
F 0.771 0.100 0.085  0.00
F 0.240 0.340 0.415  0.01
F 0.100 0.340 0.915  0.01
F 0.329 0.100 0.585  0.00

Output
**Space-group type**: No. 9
**Total energy**: -176.97 eV for the cell shown



CuRu2W | GGA-PBEsol | optimized geometry

Unit cell a=2.618 b=2.618 c=8.877 alpha=90.00 beta=90.00 gamma=114.21
Site moments in Bohr magnetons follow the coordinates.
Positions (direct):
Cu 0.500 0.500 0.248  0.01
Ru 0.000 0.000 0.002  0.19
Ru 0.500 0.500 0.751  0.03
W 0.000 0.000 0.499  0.00

Output
**Excess energy over the best structure of this formula in the dataset**: 357 meV per atom
**Space-group type**: No. 35
**Total energy**: -36.62 eV for the cell shown



CrReP2O | GGA-PBEsol | optimized geometry

Unit cell a=3.339 b=4.570 c=4.570 alpha=90.00 beta=90.00 gamma=90.00
Site moments in Bohr magnetons follow the coordinates.
Positions (direct):
Re 0.500 0.500 0.500  1.74
O 0.500 0.000 0.000  -0.04
P 0.000 0.000 0.500  -0.07
P 0.000 0.500 0.000  -0.07
Cr 0.000 0.000 0.000  1.09

Output
**Space-group type**: No. 123
**Total energy**: -38.96 eV for the cell shown